Entry 1:
Below is an optimized crystal structure of CuSi2, with properties calculated at the PBE-GGA level. Values from VASP.

Summary:
Fermi-level density of states = 0.3461 states/eV per atom
space group = Immm, No. 71
energy = -27.97 eV/cell
V = 81.9 Å³/cell

```
&SYSTEM
  ibrav = 0, nat = 6, ntyp = 2
/
ATOMIC_SPECIES
Cu 63.55 Cu.upf
Si 28.09 Si.upf
ATOMIC_POSITIONS angstrom
Cu 0.000 0.000 0.000
Cu 1.307 1.970 3.978
Si 0.000 0.000 2.702
Si 0.000 0.000 5.255
Si 1.307 1.970 1.276
Si 1.307 1.970 6.680
CELL_PARAMETERS angstrom
2.615 0.000 0.000
0.000 3.939 0.000
0.000 0.000 7.956
```

Entry 2:
Below is an optimized crystal structure of Ba2NbSi, with properties calculated at the PBE-GGA level. Values from VASP.

Summary:
Fermi-level density of states = 0.9232 states/eV per atom
space group = I-42d, No. 122
energy = -69.45 eV/cell
V = 748.3 Å³/cell

```
&SYSTEM
  ibrav = 0, nat = 16, ntyp = 3
/
ATOMIC_SPECIES
Ba 137.33 Ba.upf
Nb 92.91 Nb.upf
Si 28.09 Si.upf
ATOMIC_POSITIONS angstrom
Ba 0.987 9.138 0.630
Ba 3.046 0.987 4.411
Ba 3.046 5.105 1.890
Ba 5.105 9.138 3.151
Ba 7.079 3.046 3.151
Ba 9.138 7.079 1.890
Ba 9.138 11.196 4.411
Ba 11.196 3.046 0.630
Nb 0.000 0.000 2.521
Nb 0.000 6.092 3.781
Nb 6.092 0.000 1.260
Nb 6.092 6.092 0.000
Si 0.000 0.000 0.000
Si 0.000 6.092 1.260
Si 6.092 0.000 3.781
Si 6.092 6.092 2.521
CELL_PARAMETERS angstrom
12.183 0.000 0.000
0.000 12.183 0.000
0.000 0.000 5.041
```

Entry 3:
Below is an optimized crystal structure of Li3InPb3, with properties calculated at the PBE-GGA level. Values from VASP.

Summary:
Fermi-level density of states = 0.5941 states/eV per atom
space group = Pm-3n, No. 223
formation energy = 346 meV/atom
energy = -34.36 eV/cell
relative energy among the computed polymorphs = 532 meV per atom
V = 428.9 Å³/cell

```
&SYSTEM
  ibrav = 0, nat = 14, ntyp = 3
/
ATOMIC_SPECIES
Li 6.94 Li.upf
In 114.82 In.upf
Pb 207.20 Pb.upf
ATOMIC_POSITIONS angstrom
Li 0.000 1.885 3.771
Li 0.000 5.656 3.771
Li 1.885 3.771 0.000
Li 3.771 0.000 1.885
Li 3.771 0.000 5.656
Li 5.656 3.771 0.000
In 0.000 0.000 0.000
In 3.771 3.771 3.771
Pb 0.000 3.771 1.885
Pb 0.000 3.771 5.656
Pb 1.885 0.000 3.771
Pb 3.771 1.885 0.000
Pb 3.771 5.656 0.000
Pb 5.656 0.000 3.771
CELL_PARAMETERS angstrom
7.541 0.000 0.000
0.000 7.541 0.000
0.000 0.000 7.541
```

Entry 4:
Below is an optimized crystal structure of TiV2Fe, with properties calculated at the PBE-GGA level. Values from VASP.

Summary:
Fermi-level density of states = 1.0517 states/eV per atom
space group = P4/mmm, No. 123
formation energy = -67 meV/atom
energy = -34.86 eV/cell
V = 53.3 Å³/cell

```
&SYSTEM
  ibrav = 0, nat = 4, ntyp = 3
/
ATOMIC_SPECIES
Ti 47.87 Ti.upf
V 50.94 V.upf
Fe 55.84 Fe.upf
ATOMIC_POSITIONS angstrom
Ti 0.000 0.000 0.000
V 1.456 1.456 1.714
V 1.456 1.456 4.571
Fe 0.000 0.000 3.142
CELL_PARAMETERS angstrom
2.911 0.000 0.000
0.000 2.911 0.000
0.000 0.000 6.285
```